(1)
Below is crystalline Ho3Si2Pd3 at its relaxed geometry, with properties calculated at the PBE level.

Output
Space group: Pnma, No. 62
DOS at the Fermi energy: 19.25 states/eV/cell
Formation energy without anion corrections: -0.95 eV/atom

a = 5.582 Å, b = 7.504 Å, c = 15.118 Å
α = 90.00°, β = 90.00°, γ = 90.00°
Sites, in units of the cell vectors:
Si1 0.640 0.620 0.107
Ho1 0.636 0.028 0.891
Si2 0.860 0.120 0.393
Si3 0.140 0.880 0.607
Si4 0.640 0.620 0.393
Si5 0.860 0.120 0.107
Ho2 0.136 0.472 0.391
Pd1 0.405 0.675 0.967
Pd2 0.595 0.325 0.467
Ho3 0.626 0.332 0.250
Si6 0.360 0.380 0.893
Ho4 0.374 0.668 0.750
Pd3 0.595 0.325 0.033
Ho5 0.864 0.528 0.609
Pd4 0.905 0.825 0.467
Pd5 0.115 0.187 0.250
Pd6 0.885 0.813 0.750
Ho6 0.126 0.168 0.750
Ho7 0.864 0.528 0.891
Si7 0.360 0.380 0.607
Si8 0.140 0.880 0.893
Ho8 0.874 0.832 0.250
Ho9 0.364 0.972 0.109
Pd7 0.385 0.687 0.250
Pd8 0.095 0.175 0.533
Ho10 0.364 0.972 0.391
Pd9 0.905 0.825 0.033
Pd10 0.615 0.313 0.750
Ho11 0.636 0.028 0.609
Pd11 0.405 0.675 0.533
Pd12 0.095 0.175 0.967
Ho12 0.136 0.472 0.109

=====

(2)
Below is crystalline LiTePb2 at its relaxed geometry, with properties calculated at the PBE level.

Output
Space group: I4/mmm, No. 139
DOS at the Fermi energy: 1.65 states/eV/cell
Formation energy without anion corrections: -0.23 eV/atom

a = 6.484 Å, b = 6.484 Å, c = 6.484 Å
α = 139.25°, β = 139.25°, γ = 58.99°
Sites, in units of the cell vectors:
Li1 0.750 0.250 0.500
Pb1 0.500 0.500 0.000
Pb2 0.000 0.000 0.000
Te1 0.250 0.750 0.500

=====

(3)
Below is crystalline Pr3Sn4Pd2 at its relaxed geometry, with properties calculated at the PBE level.

Output
Space group: C2/m, No. 12
DOS at the Fermi energy: 4.97 states/eV/cell
Formation energy: -7.3 eV/f.u.

a = 4.713 Å, b = 6.236 Å, c = 9.001 Å
α = 105.81°, β = 90.00°, γ = 112.20°
Sites, in units of the cell vectors:
Pd1 0.309 0.618 0.630
Sn1 0.083 0.167 0.395
Pd2 0.691 0.382 0.370
Pr1 0.631 0.262 0.689
Sn2 0.706 0.413 0.074
Pr2 0.369 0.738 0.311
Pr3 0.000 0.000 0.000
Sn3 0.917 0.833 0.605
Sn4 0.294 0.587 0.926

=====

(4)
Below is crystalline SrZr2AgSb at its relaxed geometry, with properties calculated at the PBE level.

Output
Space group: P4/mmm, No. 123
DOS at the Fermi energy: 7.29 states/eV/cell
Formation energy without anion corrections: 0.62 eV/atom

a = 5.312 Å, b = 5.493 Å, c = 5.312 Å
α = 90.00°, β = 90.00°, γ = 90.00°
Last column: magnetic moment on the atom in μB.
Sites, in units of the cell vectors:
Sr1 0.500 0.500 0.500  0.09
Zr1 0.500 0.000 0.000  0.81
Ag1 0.000 0.000 0.000  0.10
Zr2 0.000 0.000 0.500  0.78
Sb1 0.000 0.500 0.000  -0.03

=====

(5)
Below is crystalline LiAlP2 at its relaxed geometry, with properties calculated at the PBE level.

Output
Space group: Pna2_1, No. 33
Formation energy: -1.4 eV/f.u.

a = 5.496 Å, b = 6.917 Å, c = 8.541 Å
α = 90.00°, β = 90.00°, γ = 90.00°
Sites, in units of the cell vectors:
P1 0.482 0.699 0.118
P2 0.357 0.651 0.612
Li1 0.917 0.994 0.376
P3 0.357 0.151 0.888
P4 0.857 0.349 0.388
Li2 0.417 0.506 0.876
Al1 0.994 0.958 0.865
P5 0.982 0.801 0.618
Li3 0.417 0.006 0.624
Al2 0.494 0.542 0.365
Al3 0.494 0.042 0.135
Li4 0.917 0.494 0.124
P6 0.982 0.301 0.882
P7 0.857 0.849 0.112
P8 0.482 0.199 0.382
Al4 0.994 0.458 0.635

=====

(6)
Below is crystalline KRbBa2Li at its relaxed geometry, with properties calculated at the PBE level.

Output
Space group: P4/mmm, No. 123
DOS at the Fermi energy: 5.99 states/eV/cell
Formation energy: 0.9 eV/f.u.

a = 6.875 Å, b = 6.875 Å, c = 7.135 Å
α = 90.00°, β = 90.00°, γ = 90.00°
Sites, in units of the cell vectors:
K1 0.000 0.000 0.500
Ba1 0.500 0.000 0.000
Ba2 0.000 0.500 0.000
Rb1 0.500 0.500 0.500
Li1 0.000 0.000 0.000

=====

(7)
Below is crystalline TbPr3Tm2S6 at its relaxed geometry, with properties calculated at the PBE level.

Output
Space group: C2/m, No. 12
DOS at the Fermi energy: 4.73 states/eV/cell
Formation energy without anion corrections: -2.00 eV/atom

a = 6.832 Å, b = 6.832 Å, c = 7.054 Å
α = 99.29°, β = 99.29°, γ = 120.13°
Sites, in units of the cell vectors:
Tb1 0.000 0.000 0.000
S1 0.737 0.737 0.226
Pr1 0.164 0.836 0.500
S2 0.414 0.076 0.228
S3 0.076 0.414 0.228
S4 0.263 0.263 0.774
Tm1 0.333 0.667 0.000
S5 0.586 0.924 0.772
Tm2 0.667 0.333 0.000
Pr2 0.836 0.164 0.500
S6 0.924 0.586 0.772
Pr3 0.500 0.500 0.500

=====

(8)
Below is crystalline Ta2IrRu at its relaxed geometry, with properties calculated at the PBE level.

Output
Space group: P2/m, No. 10
DOS at the Fermi energy: 3.88 states/eV/cell
Formation energy: -1.7 eV/f.u.

a = 3.686 Å, b = 2.947 Å, c = 6.606 Å
α = 63.98°, β = 90.00°, γ = 90.00°
Sites, in units of the cell vectors:
Ta1 0.000 0.500 0.502
Ru1 0.500 0.750 0.750
Ta2 0.000 0.000 0.998
Ir1 0.500 0.250 0.250

=====

(9)
Below is crystalline NbVGeRh at its relaxed geometry, with properties calculated at the PBE level.

Output
Space group: F-43m, No. 216
DOS at the Fermi energy: 4.44 states/eV/cell
Formation energy: -0.8 eV/f.u.

a = 4.398 Å, b = 4.398 Å, c = 4.398 Å
α = 60.00°, β = 60.00°, γ = 60.00°
Sites, in units of the cell vectors:
Rh1 0.250 0.250 0.250
V1 0.500 0.500 0.500
Ge1 0.000 0.000 0.000
Nb1 0.750 0.750 0.750

=====

(10)
Below is crystalline Pm5Sm2Ho4 at its relaxed geometry, with properties calculated at the PBE level.

Output
Space group: Immm, No. 71
DOS at the Fermi energy: 16.29 states/eV/cell
Formation energy: 2.1 eV/f.u.

a = 3.529 Å, b = 9.146 Å, c = 12.729 Å
α = 111.05°, β = 97.97°, γ = 90.00°
Sites, in units of the cell vectors:
Pm1 0.855 0.055 0.711
Pm2 0.855 0.656 0.711
Sm1 0.269 0.269 0.537
Ho1 0.000 0.313 0.000
Ho2 0.000 0.687 0.000
Ho3 0.596 0.596 0.193
Sm2 0.731 0.731 0.463
Ho4 0.404 0.404 0.807
Pm3 0.145 0.945 0.289
Pm4 0.145 0.344 0.289
Pm5 0.500 0.000 0.000

=====

(11)
Below is crystalline SmBiH at its relaxed geometry, with properties calculated at the PBE level.

Output
Space group: C2/m, No. 12
Final energy: -4.43 eV per atom
DOS at the Fermi energy: 2.33 states/eV/cell

a = 3.704 Å, b = 3.740 Å, c = 12.146 Å
α = 90.34°, β = 81.23°, γ = 60.32°
Sites, in units of the cell vectors:
Bi1 0.767 0.617 0.849
Bi2 0.233 0.383 0.151
H1 0.621 0.192 0.567
Sm1 0.250 0.875 0.625
H2 0.379 0.808 0.433
Sm2 0.750 0.125 0.375

=====

(12)
Below is crystalline Sm2Ni4Ge3Sb at its relaxed geometry, with properties calculated at the PBE level.

Output
Space group: P-4m2, No. 115
DOS at the Fermi energy: 6.34 states/eV/cell
Formation energy without anion corrections: -0.65 eV/atom

a = 4.217 Å, b = 4.217 Å, c = 9.802 Å
α = 90.00°, β = 90.00°, γ = 90.00°
Sites, in units of the cell vectors:
Ni1 0.000 0.500 0.364
Sm1 0.000 0.500 0.765
Ge1 0.000 0.000 0.500
Ge2 0.500 0.000 0.878
Sb1 0.500 0.500 0.500
Sm2 0.500 0.000 0.235
Ge3 0.000 0.500 0.122
Ni2 0.500 0.500 0.000
Ni3 0.500 0.000 0.636
Ni4 0.000 0.000 0.000

=====

Number 1: total magnetization 0.0 μB/f.u.. Number 2: total magnetization 0.0 μB/f.u.. Number 3: total magnetization 0.0 μB/f.u.. Number 4: total magnetization 3.0 μB/f.u.. Number 5: total magnetization 0.0 μB/f.u.. Number 6: total magnetization 0.0 μB/f.u.. Number 7: total magnetization 0.0 μB/f.u.. Number 8: total magnetization 0.0 μB/f.u.. Number 9: total magnetization 0.0 μB/f.u.. Number 10: total magnetization 0.0 μB/f.u.. Number 11: total magnetization 0.0 μB/f.u.. Number 12: total magnetization 0.0 μB/f.u..